Density functional theory data (GGA-PBE) for crystalline Eu2TmLu at its relaxed geometry.

Summary:
The symmetry is P4/mmm. Its total DFT energy (no corrections) is -0.532 Ry per atom. Its density of states at the Fermi level is 5.78 states/eV/f.u. The energy above the most stable polymorph in this dataset is 0.018 eV per atom. As for the density: 7.87 g/cm3. For the size of the total moment, the calculation gives 15.57 μB/f.u. The value obtained for the formation energy is 0.141 eV/atom.

Cell lengths 5.2324, 5.1122, 5.1122 Å; angles 90.00, 90.00, 90.00 degrees
Last column: magnetic moment on the atom in μB.
Sites, in units of the cell vectors:
Eu 0.0000 0.5000 0.0000  6.94
Eu 0.0000 0.0000 0.5000  6.94
Tm 0.5000 0.0000 0.0000  0.34
Lu 0.5000 0.5000 0.5000  0.27

=====

Density functional theory data (GGA-PBE) for crystalline TbPr3Zn2 at its relaxed geometry.

Summary:
The symmetry is P4/mmm. Its total DFT energy (no corrections) is -0.278 Ry per atom. Its density of states at the Fermi level is 5.93 states/eV/f.u. The energy above the most stable polymorph in this dataset is 0.000 eV per atom. As for the density: 6.90 g/cm3. For the size of the total moment, the calculation gives 0.00 μB/f.u. The value obtained for the formation energy is -0.192 eV/atom.

Cell lengths 3.7113, 3.7113, 12.4510 Å; angles 90.00, 90.00, 90.00 degrees
Sites, in units of the cell vectors:
Pr 0.0000 0.0000 0.0000
Pr 0.0000 0.0000 0.2946
Pr 0.0000 0.0000 0.7054
Zn 0.5000 0.5000 0.1483
Zn 0.5000 0.5000 0.8517
Tb 0.5000 0.5000 0.5000

=====

Density functional theory data (GGA-PBE) for crystalline Sn2HgPb4 at its relaxed geometry.

Summary:
The symmetry is R-3m. Its total DFT energy (no corrections) is -0.238 Ry per atom. Its density of states at the Fermi level is 3.81 states/eV/f.u. The energy above the most stable polymorph in this dataset is 0.000 eV per atom. As for the density: 9.46 g/cm3. For the size of the total moment, the calculation gives 0.00 μB/f.u. The value obtained for the formation energy is 0.067 eV/atom.

Cell lengths 5.3892, 5.3892, 9.3745 Å; angles 73.29, 73.29, 60.00 degrees
Sites, in units of the cell vectors:
Pb 0.6223 0.6223 0.1331
Pb 0.8712 0.8712 0.3864
Pb 0.1288 0.1288 0.6136
Pb 0.3777 0.3777 0.8669
Sn 0.2496 0.2496 0.2513
Sn 0.7504 0.7504 0.7487
Hg 0.0000 0.0000 0.0000

=====

Density functional theory data (GGA-PBE) for crystalline Cs3O at its relaxed geometry.

Summary:
The symmetry is Pmm2. The calculation puts the formation energy from raw total energies at -2.2 eV per formula unit. Its total DFT energy (no corrections) is -0.178 Ry per atom. Its density of states at the Fermi level is 3.06 states/eV/f.u. The energy above the most stable polymorph in this dataset is 0.242 eV per atom. As for the density: 3.02 g/cm3. For the size of the total moment, the calculation gives 0.12 μB/f.u.

Cell lengths 4.0398, 4.4164, 12.7786 Å; angles 90.00, 90.00, 90.00 degrees
Sites, in units of the cell vectors:
O 0.0000 0.0000 0.9700
Cs 0.5000 0.0000 0.8290
Cs 0.0000 0.5000 0.4694
Cs 0.5000 0.5000 0.0649

=====

Density functional theory data (GGA-PBE) for crystalline Dy7Er12Mg at its relaxed geometry.

Summary:
The symmetry is Im-3. Its total DFT energy (no corrections) is -0.262 Ry per atom. Its density of states at the Fermi level is 30.60 states/eV/f.u. The energy above the most stable polymorph in this dataset is 0.651 eV per atom. As for the density: 6.21 g/cm3. For the size of the total moment, the calculation gives 0.38 μB/f.u. The value obtained for the formation energy is 0.868 eV/atom.

Cell lengths 10.3259, 10.3259, 10.3259 Å; angles 109.47, 109.47, 109.47 degrees
Sites, in units of the cell vectors:
Er 0.3786 0.6410 0.7376
Er 0.2624 0.9033 0.6410
Er 0.9033 0.6410 0.2624
Er 0.7376 0.3786 0.6410
Er 0.3590 0.2624 0.6214
Er 0.6214 0.3590 0.2624
Er 0.7376 0.0967 0.3590
Er 0.2624 0.6214 0.3590
Er 0.0967 0.3590 0.7376
Er 0.6410 0.7376 0.3786
Er 0.6410 0.2624 0.9033
Er 0.3590 0.7376 0.0967
Mg 0.0000 0.0000 0.0000
Dy 0.5000 0.0000 0.5000
Dy 0.5000 0.5000 0.5000
Dy 0.0000 0.5000 0.0000
Dy 0.5000 0.0000 0.0000
Dy 0.0000 0.0000 0.5000
Dy 0.5000 0.5000 0.0000
Dy 0.0000 0.5000 0.5000

=====

Density functional theory data (GGA-PBE) for crystalline Ba7Sr2Ca at its relaxed geometry.

Summary:
The symmetry is Fm-3m. Its total DFT energy (no corrections) is -0.108 Ry per atom. Its density of states at the Fermi level is 17.08 states/eV/f.u. The energy above the most stable polymorph in this dataset is 0.157 eV per atom. As for the density: 3.01 g/cm3. For the size of the total moment, the calculation gives 0.53 μB/f.u. The value obtained for the formation energy is 0.408 eV/atom.

Cell lengths 9.7180, 9.7180, 9.7180 Å; angles 60.00, 60.00, 60.00 degrees
Last column: magnetic moment on the atom in μB.
Sites, in units of the cell vectors:
Ba 0.7436 0.7436 0.2564  0.01
Ba 0.7436 0.2564 0.7436  0.01
Ba 0.5000 0.5000 0.5000  -0.02
Ba 0.2564 0.7436 0.7436  0.01
Ba 0.2564 0.2564 0.7436  0.01
Ba 0.7436 0.2564 0.2564  0.01
Ba 0.2564 0.7436 0.2564  0.01
Sr 0.7500 0.7500 0.7500  0.00
Sr 0.2500 0.2500 0.2500  0.00
Ca 0.0000 0.0000 0.0000  0.07

=====

Density functional theory data (GGA-PBE) for crystalline Dy2Ho4Te9 at its relaxed geometry.

Summary:
The symmetry is P-3c1. The calculation puts the formation energy from raw total energies at -20.3 eV per formula unit. Its total DFT energy (no corrections) is -0.373 Ry per atom. As for the density: 6.62 g/cm3. For the size of the total moment, the calculation gives 0.00 μB/f.u.

Cell lengths 7.6680, 7.6677, 21.0225 Å; angles 90.00, 90.00, 60.00 degrees
Sites, in units of the cell vectors:
Te 0.6653 0.9810 0.4167
Te 0.3149 0.0000 0.2500
Te 0.3534 0.6656 0.4168
Te 0.6847 0.3151 0.2500
Te 0.3537 0.9809 0.9167
Te 0.6656 0.3536 0.9167
Te 0.3347 0.0190 0.5833
Te 0.0191 0.3343 0.0832
Te 0.9997 0.6850 0.2500
Te 0.6466 0.3344 0.5832
Te 0.9809 0.3535 0.4167
Te 0.0003 0.3150 0.7500
Te 0.3344 0.6464 0.0833
Te 0.6463 0.0191 0.0833
Te 0.9809 0.6657 0.9168
Te 0.0191 0.6465 0.5833
Te 0.6851 0.0000 0.7500
Te 0.3153 0.6849 0.7500
Ho 0.6665 0.6666 0.3240
Ho 0.6666 0.6666 0.0093
Ho 0.6667 0.6666 0.5093
Ho 0.6669 0.6666 0.8240
Ho 0.3331 0.3334 0.1760
Ho 0.3334 0.3334 0.9907
Ho 0.3335 0.3334 0.6760
Ho 0.3333 0.3334 0.4907
Dy 0.9998 0.0000 0.3429
Dy 0.0002 0.0000 0.8429
Dy 0.0002 0.0000 0.6571
Dy 0.9998 0.0000 0.1571

=====

Density functional theory data (GGA-PBE) for crystalline Na4Ho3VSe8 at its relaxed geometry.

Summary:
The symmetry is R-3m. The calculation puts the formation energy from raw total energies at -23.4 eV per formula unit. Its total DFT energy (no corrections) is -0.365 Ry per atom. Its density of states at the Fermi level is 8.26 states/eV/f.u. As for the density: 5.32 g/cm3. For the size of the total moment, the calculation gives 2.00 μB/f.u.

Cell lengths 8.0773, 8.4182, 8.0779 Å; angles 118.68, 120.00, 90.00 degrees
Last column: magnetic moment on the atom in μB.
Sites, in units of the cell vectors:
Ho 0.5000 0.5000 0.0000  0.01
Ho 0.5000 0.5000 0.5000  0.01
Ho 0.0000 0.5000 0.5000  0.01
Na 0.0000 0.0000 0.5000  0.00
Na 0.5000 0.0000 0.0000  0.00
Na 0.5000 0.0000 0.5000  0.00
Na 0.0000 0.0000 0.0000  0.00
Se 0.2305 0.7203 0.4609  -0.03
Se 0.7595 0.7202 0.9899  -0.03
Se 0.7695 0.2797 0.5391  -0.03
Se 0.7696 0.2798 0.0101  -0.03
Se 0.2561 0.2682 0.5121  -0.01
Se 0.7439 0.7318 0.4879  -0.01
Se 0.2405 0.2798 0.0101  -0.03
Se 0.2304 0.7202 0.9899  -0.03
V 0.0000 0.5000 0.0000  1.96

=====

Density functional theory data (GGA-PBE) for crystalline Li3Br at its relaxed geometry.

Summary:
The symmetry is P4mm. The calculation puts the formation energy from raw total energies at -2.3 eV per formula unit. Its total DFT energy (no corrections) is -0.179 Ry per atom. The energy above the most stable polymorph in this dataset is 0.033 eV per atom. As for the density: 1.96 g/cm3. For the size of the total moment, the calculation gives 0.00 μB/f.u.

Cell lengths 3.9343, 3.9331, 5.5249 Å; angles 90.00, 90.00, 90.00 degrees
Sites, in units of the cell vectors:
Br 0.0000 0.0000 0.9372
Li 0.0000 0.5000 0.6155
Li 0.5000 0.5000 0.1647
Li 0.5000 0.0000 0.6159

=====

Density functional theory data (GGA-PBE) for crystalline MgBe4Ga at its relaxed geometry.

Summary:
The symmetry is F-43m. Its total DFT energy (no corrections) is -0.228 Ry per atom. Its density of states at the Fermi level is 2.86 states/eV/f.u. As for the density: 3.22 g/cm3. For the size of the total moment, the calculation gives 0.00 μB/f.u. The value obtained for the formation energy is 0.152 eV/atom.

Cell lengths 4.5618, 4.5618, 4.5618 Å; angles 60.00, 60.00, 60.00 degrees
Sites, in units of the cell vectors:
Ga 0.2500 0.2500 0.2500
Be 0.6265 0.6265 0.1205
Be 0.6265 0.6265 0.6265
Be 0.6265 0.1205 0.6265
Be 0.1206 0.6265 0.6265
Mg 0.0000 0.0000 0.0000

=====

Density functional theory data (GGA-PBE) for crystalline CuCl2F at its relaxed geometry.

Summary:
The symmetry is Fm-3m. The calculation puts the formation energy from raw total energies at 0.3 eV per formula unit. Its total DFT energy (no corrections) is -0.172 Ry per atom. Its density of states at the Fermi level is 6.89 states/eV/f.u. The energy above the most stable polymorph in this dataset is 0.701 eV per atom. As for the density: 4.33 g/cm3. For the size of the total moment, the calculation gives 0.01 μB/f.u.

Cell lengths 4.3670, 4.3670, 4.3670 Å; angles 60.00, 60.00, 60.00 degrees
Sites, in units of the cell vectors:
Cu 0.5000 0.5000 0.5000
Cl 0.2500 0.2500 0.2500
Cl 0.7500 0.7500 0.7500
F 0.0000 0.0000 0.0000

=====

Density functional theory data (GGA-PBE) for crystalline LiTmBr4 at its relaxed geometry.

Summary:
The symmetry is P2/m. The calculation puts the formation energy from raw total energies at -10.5 eV per formula unit. Its total DFT energy (no corrections) is -0.288 Ry per atom. Its density of states at the Fermi level is 0.00 states/eV/f.u. The energy above the most stable polymorph in this dataset is 0.000 eV per atom. As for the density: 4.19 g/cm3. For the size of the total moment, the calculation gives 0.00 μB/f.u.

Cell lengths 4.0432, 6.9759, 6.9760 Å; angles 94.45, 90.00, 90.00 degrees
Sites, in units of the cell vectors:
Tm 0.0000 0.0000 0.0000
Br 0.5000 0.7677 0.8264
Br 0.5000 0.2323 0.1736
Br 0.0000 0.2090 0.6850
Br 0.0000 0.7910 0.3150
Li 0.5000 0.0000 0.5000

=====

Density functional theory data (GGA-PBE) for crystalline AgSbRu2 at its relaxed geometry.

Summary:
The symmetry is F-43m. The calculation puts the formation energy from raw total energies at 1.9 eV per formula unit. Its total DFT energy (no corrections) is -0.433 Ry per atom. Its density of states at the Fermi level is 5.43 states/eV/f.u. As for the density: 10.67 g/cm3. For the size of the total moment, the calculation gives 1.70 μB/f.u.

Cell lengths 4.5637, 4.5637, 4.5637 Å; angles 60.00, 60.00, 60.00 degrees
Last column: magnetic moment on the atom in μB.
Sites, in units of the cell vectors:
Sb 0.7500 0.7500 0.7500  0.01
Ru 0.0000 0.0000 0.0000  0.53
Ru 0.2500 0.2500 0.2500  1.07
Ag 0.5000 0.5000 0.5000  0.01

=====

Density functional theory data (GGA-PBE) for crystalline SmY2Ga at its relaxed geometry.

Summary:
The symmetry is P4/mmm. Its total DFT energy (no corrections) is -0.402 Ry per atom. Its density of states at the Fermi level is 3.81 states/eV/f.u. The energy above the most stable polymorph in this dataset is 0.000 eV per atom. As for the density: 5.86 g/cm3. For the size of the total moment, the calculation gives 0.00 μB/f.u. The value obtained for the formation energy is -0.295 eV/atom.

Cell lengths 3.5456, 3.5456, 8.9726 Å; angles 90.00, 90.00, 90.00 degrees
Sites, in units of the cell vectors:
Y 0.0000 0.0000 0.2060
Y 0.0000 0.0000 0.7940
Ga 0.5000 0.5000 0.0000
Sm 0.5000 0.5000 0.5000

=====

Density functional theory data (GGA-PBE) for crystalline OsPt3F at its relaxed geometry.

Summary:
The symmetry is Pm-3m. The calculation puts the formation energy from raw total energies at 6.3 eV per formula unit. Its total DFT energy (no corrections) is -0.367 Ry per atom. Its density of states at the Fermi level is 5.09 states/eV/f.u. The energy above the most stable polymorph in this dataset is 0.026 eV per atom. As for the density: 11.82 g/cm3. For the size of the total moment, the calculation gives 0.00 μB/f.u.

Cell lengths 4.8141, 4.8141, 4.8141 Å; angles 90.00, 90.00, 90.00 degrees
Sites, in units of the cell vectors:
Pt 0.0000 0.0000 0.5000
Pt 0.0000 0.5000 0.0000
Pt 0.5000 0.0000 0.0000
Os 0.0000 0.0000 0.0000
F 0.5000 0.5000 0.5000

=====

Density functional theory data (GGA-PBE) for crystalline SmScPd6 at its relaxed geometry.

Summary:
The symmetry is P4/mmm. Its total DFT energy (no corrections) is -0.448 Ry per atom. Its density of states at the Fermi level is 6.01 states/eV/f.u. As for the density: 10.10 g/cm3. For the size of the total moment, the calculation gives 0.00 μB/f.u. The value obtained for the formation energy is -0.816 eV/atom.

Cell lengths 4.1121, 4.1121, 8.1085 Å; angles 90.00, 90.00, 90.00 degrees
Sites, in units of the cell vectors:
Pd 0.0000 0.5000 0.7374
Pd 0.5000 0.5000 0.5000
Pd 0.5000 0.0000 0.7374
Pd 0.0000 0.5000 0.2626
Pd 0.5000 0.5000 0.0000
Pd 0.5000 0.0000 0.2626
Sm 0.0000 0.0000 0.0000
Sc 0.0000 0.0000 0.5000

=====

Density functional theory data (GGA-PBE) for crystalline CsCrC2 at its relaxed geometry.

Summary:
The symmetry is Fm-3m. Its total DFT energy (no corrections) is -0.312 Ry per atom. Its density of states at the Fermi level is 4.20 states/eV/f.u. As for the density: 5.25 g/cm3. For the size of the total moment, the calculation gives 3.14 μB/f.u. The value obtained for the formation energy is 2.980 eV/atom.

Cell lengths 4.5385, 4.5385, 4.5385 Å; angles 60.00, 60.00, 60.00 degrees
Last column: magnetic moment on the atom in μB.
Sites, in units of the cell vectors:
C 0.2500 0.2500 0.2500  -0.20
C 0.7500 0.7500 0.7500  -0.20
Cr 0.0000 0.0000 0.0000  3.51
Cs 0.5000 0.5000 0.5000  -0.01

=====

Density functional theory data (GGA-PBE) for crystalline NaZrBe2Ga at its relaxed geometry.

Summary:
The symmetry is P4/mmm. Its total DFT energy (no corrections) is -0.187 Ry per atom. Its density of states at the Fermi level is 5.80 states/eV/f.u. As for the density: 2.55 g/cm3. For the size of the total moment, the calculation gives 0.00 μB/f.u. The value obtained for the formation energy is 1.525 eV/atom.

Cell lengths 4.7645, 5.7878, 4.7645 Å; angles 90.00, 90.00, 90.00 degrees
Sites, in units of the cell vectors:
Be 0.5000 0.0000 0.0000
Be 0.0000 0.0000 0.5000
Na 0.0000 0.5000 0.0000
Ga 0.5000 0.5000 0.5000
Zr 0.0000 0.0000 0.0000